Entry 1:
! LaY2Al2Ga2 (PBE, relaxed); values from VASP
! **ΔH_f (0 K)**: -426 meV/atom
! **Space-group type**: No. 166
! **Energy**: -4.91 eV/atom
&SYSTEM
  ibrav = 0, nat = 7, ntyp = 4
/
ATOMIC_SPECIES
La 138.91 La.upf
Y 88.91 Y.upf
Al 26.98 Al.upf
Ga 69.72 Ga.upf
ATOMIC_POSITIONS crystal
La 0.000 0.000 0.000
Y 0.130 0.130 0.130
Y 0.870 0.870 0.870
Al 0.399 0.399 0.399
Al 0.601 0.601 0.601
Ga 0.253 0.253 0.253
Ga 0.747 0.747 0.747
CELL_PARAMETERS angstrom
2.203 1.272 10.250
-2.203 1.272 10.250
0.000 -2.544 10.250

Entry 2:
! LaYAl2Ga2 (PBE, relaxed); values from VASP
! **ΔH_f (0 K)**: -589 meV/atom
! **Space-group type**: No. 164
! **Energy**: -4.74 eV/atom
&SYSTEM
  ibrav = 0, nat = 6, ntyp = 4
/
ATOMIC_SPECIES
La 138.91 La.upf
Y 88.91 Y.upf
Al 26.98 Al.upf
Ga 69.72 Ga.upf
ATOMIC_POSITIONS crystal
La 0.000 0.000 0.000
Y 0.000 0.000 0.500
Al 0.333 0.667 0.739
Al 0.667 0.333 0.261
Ga 0.333 0.667 0.264
Ga 0.667 0.333 0.736
CELL_PARAMETERS angstrom
4.323 0.000 0.000
-2.162 3.744 0.000
0.000 0.000 8.563

Entry 3:
! La2Al3Zn4Ga (PBE, relaxed); values from VASP
! **ΔH_f (0 K)**: -444 meV/atom
! **Space-group type**: No. 115
! **Energy**: -3.36 eV/atom
&SYSTEM
  ibrav = 0, nat = 10, ntyp = 4
/
ATOMIC_SPECIES
La 138.91 La.upf
Al 26.98 Al.upf
Zn 65.41 Zn.upf
Ga 69.72 Ga.upf
ATOMIC_POSITIONS crystal
La 0.000 0.500 0.249
La 0.500 0.000 0.751
Al 0.000 0.500 0.869
Al 0.500 0.000 0.131
Al 0.500 0.500 0.500
Zn 0.000 0.000 0.000
Zn 0.000 0.500 0.636
Zn 0.500 0.000 0.364
Zn 0.500 0.500 0.000
Ga 0.000 0.000 0.500
CELL_PARAMETERS angstrom
4.330 0.000 0.000
0.000 4.330 0.000
0.000 0.000 10.736

Entry 4:
! La3Al2Zn6Ga (PBE, relaxed); values from VASP
! **ΔH_f (0 K)**: -167 meV/atom
! **Space-group type**: No. 164
! **Energy**: -2.91 eV/atom
&SYSTEM
  ibrav = 0, nat = 12, ntyp = 4
/
ATOMIC_SPECIES
La 138.91 La.upf
Al 26.98 Al.upf
Zn 65.41 Zn.upf
Ga 69.72 Ga.upf
ATOMIC_POSITIONS crystal
La 0.000 0.000 0.000
La 0.333 0.667 0.704
La 0.667 0.333 0.296
Al 0.333 0.667 0.091
Al 0.667 0.333 0.909
Zn 0.193 0.387 0.346
Zn 0.193 0.807 0.346
Zn 0.387 0.193 0.654
Zn 0.613 0.807 0.346
Zn 0.807 0.193 0.654
Zn 0.807 0.613 0.654
Ga 0.000 0.000 0.500
CELL_PARAMETERS angstrom
6.248 0.000 0.000
-3.124 5.411 0.000
0.000 0.000 8.150

Entry 5:
! La2AlZn4Ga3 (PBE, relaxed); values from VASP
! **ΔH_f (0 K)**: -501 meV/atom
! **Space-group type**: No. 115
! **Energy**: -3.28 eV/atom
&SYSTEM
  ibrav = 0, nat = 10, ntyp = 4
/
ATOMIC_SPECIES
La 138.91 La.upf
Al 26.98 Al.upf
Zn 65.41 Zn.upf
Ga 69.72 Ga.upf
ATOMIC_POSITIONS crystal
La 0.000 0.500 0.247
La 0.500 0.000 0.753
Al 0.000 0.000 0.500
Zn 0.000 0.000 0.000
Zn 0.000 0.500 0.635
Zn 0.500 0.000 0.365
Zn 0.500 0.500 0.000
Ga 0.000 0.500 0.867
Ga 0.500 0.000 0.133
Ga 0.500 0.500 0.500
CELL_PARAMETERS angstrom
4.318 0.000 0.000
0.000 4.318 0.000
0.000 0.000 10.689

Entry 6:
! La2AlZnGa6 (PBE, relaxed); values from VASP
! **ΔH_f (0 K)**: -296 meV/atom
! **Space-group type**: No. 166
! **Energy**: -3.60 eV/atom
&SYSTEM
  ibrav = 0, nat = 20, ntyp = 4
/
ATOMIC_SPECIES
La 138.91 La.upf
Al 26.98 Al.upf
Zn 65.41 Zn.upf
Ga 69.72 Ga.upf
ATOMIC_POSITIONS crystal
La 0.115 0.115 0.115
La 0.295 0.295 0.295
La 0.705 0.705 0.705
La 0.885 0.885 0.885
Al 0.000 0.000 0.000
Al 0.500 0.500 0.500
Zn 0.430 0.430 0.430
Zn 0.570 0.570 0.570
Ga 0.053 0.664 0.664
Ga 0.231 0.231 0.661
Ga 0.231 0.661 0.231
Ga 0.336 0.336 0.947
Ga 0.336 0.947 0.336
Ga 0.339 0.769 0.769
Ga 0.661 0.231 0.231
Ga 0.664 0.053 0.664
Ga 0.664 0.664 0.053
Ga 0.769 0.339 0.769
Ga 0.769 0.769 0.339
Ga 0.947 0.336 0.336
CELL_PARAMETERS angstrom
3.241 1.871 12.047
-3.241 1.871 12.047
0.000 -3.742 12.047